Crystalline EuMn4Cu3O12 at its relaxed geometry, computed with PBE+U.

Properties
Uncorrected energy (eV per atom): -6.94
Calculated volume (Å³ per atom): 10.33
Symmetry: Im-3, No. 204

Cell lengths 6.4506, 6.4506, 6.4506 Å; angles 109.47, 109.47, 109.47 degrees
Closest atoms and distances in Å follow each position.
Atoms (fractional coordinates):
Mn  0.5000  0.5000  0.5000  6 O 2.00
O  0.6915  0.5212  0.8297  1 Cu 1.91, 2 Mn 2.00
O  0.4788  0.1703  0.3084  1 Cu 1.91, 2 Mn 2.00
Mn  0.5000  0.0000  0.0000  6 O 2.00
O  0.3085  0.1382  0.8296  1 Cu 1.91, 2 Mn 2.00
O  0.6915  0.8618  0.1704  1 Cu 1.91, 2 Mn 2.00
O  0.8618  0.1704  0.6915  1 Cu 1.91, 2 Mn 2.00
O  0.1382  0.8296  0.3085  1 Cu 1.91, 2 Mn 2.00
Cu  0.0000  0.5000  0.5000  4 O 1.91
O  0.5212  0.8297  0.6916  1 Cu 1.91, 2 Mn 2.00
Mn  0.0000  0.5000  0.0000  6 O 2.00
O  0.1704  0.6915  0.8618  1 Cu 1.91, 2 Mn 2.00
Eu  0.0000  0.0000  0.0000  12 O 2.62-2.63
O  0.8296  0.3085  0.1382  1 Cu 1.91, 2 Mn 2.00
Mn  0.0000  0.0000  0.5000  6 O 2.00
O  0.1702  0.3084  0.4787  1 Cu 1.91, 2 Mn 2.00
O  0.3085  0.4788  0.1703  1 Cu 1.91, 2 Mn 2.00
Cu  0.5000  0.0000  0.5000  4 O 1.91
O  0.8298  0.6916  0.5213  1 Cu 1.91, 2 Mn 2.00
Cu  0.5000  0.5000  0.0000  4 O 1.91